1.
Computed, not measured: a relaxed SrLiSc2 crystal at the GGA-PBE level of DFT.

Lattice parameters (Å, degrees): 6.2886 6.2886 3.3984 90.00 90.00 119.34
Each line ends with the local moment (μB).
Fractional coordinates of all 4 atoms:
1 Sc 0.5000 0.5000 0.0000  0.11
2 Sc 0.0000 0.0000 0.0000  0.11
3 Sr 0.5000 0.0000 0.5000  0.00
4 Li 0.0000 0.5000 0.5000  0.00

Results
space-group type = Cmmm (65)
E_form = 0.4148 eV/atom
crystal system = orthorhombic

---

2.
Computed, not measured: a relaxed Sr2LiSc crystal at the GGA-PBE level of DFT.

Lattice parameters (Å, degrees): 7.1066 7.1066 6.0455 65.53 65.53 32.26
Each line ends with the local moment (μB).
Fractional coordinates of all 4 atoms:
1 Sc 0.7844 0.7844 0.7186  0.49
2 Li 0.4800 0.4800 0.5172  0.02
3 Sr 0.0108 0.0108 0.9870  0.04
4 Sr 0.2247 0.2247 0.2771  0.05

Results
space-group type = Cm (8)
E_form = 0.2507 eV/atom
crystal system = monoclinic

---

3.
Computed, not measured: a relaxed SrLiSc2 crystal at the GGA-PBE level of DFT.

Lattice parameters (Å, degrees): 3.5974 3.5974 8.8223 90.00 90.00 90.00
Each line ends with the local moment (μB).
Fractional coordinates of all 4 atoms:
1 Sc 0.0000 0.0000 0.9290  0.25
2 Sc 0.0000 0.0000 0.5710  0.25
3 Li 0.5000 0.5000 0.7500  0.01
4 Sr 0.5000 0.5000 0.2500  0.03

Results
space-group type = P4/mmm (123)
E_form = 0.2951 eV/atom
crystal system = tetragonal